Entry 1:
An optimized crystal structure of AcDy5Er2, computed with PBE.

abc: 7.1874 20.1867 7.1847
angles: 90.00 90.00 90.00
Closest atoms and distances in Å follow each position.
Sites, in units of the cell vectors:
Ac: 0.2493 0.1247 0.0000  4 Er 3.59-3.60, 8 Dy 3.59-3.61
Ac: 0.2507 0.6247 0.0000  4 Er 3.59-3.60, 8 Dy 3.59-3.61
Ac: 0.7493 0.3753 0.0000  4 Er 3.59-3.60, 8 Dy 3.59-3.61
Ac: 0.7507 0.8753 0.0000  4 Er 3.59-3.60, 8 Dy 3.59-3.61
Dy: 0.0000 0.5000 0.2566  6 Dy 3.50-3.69, 4 Er 3.56-3.59, 2 Ac 3.60
Dy: 0.0000 0.5000 0.7434  6 Dy 3.50-3.69, 4 Er 3.56-3.59, 2 Ac 3.60
Dy: 0.0011 0.7500 0.2565  8 Dy 3.50-3.69, 2 Er 3.56, 2 Ac 3.61
Dy: 0.0011 0.7500 0.7435  8 Dy 3.50-3.69, 2 Er 3.56, 2 Ac 3.61
Dy: 0.2492 0.3753 0.0000  8 Dy 3.59-3.61, 2 Ac 3.59, 2 Er 3.60
Dy: 0.2493 0.3753 0.5000  8 Dy 3.55-3.59, 4 Er 3.55-3.60
Dy: 0.2508 0.8753 0.0000  8 Dy 3.59-3.61, 2 Ac 3.59, 2 Er 3.60
Dy: 0.2507 0.8753 0.5000  8 Dy 3.55-3.59, 4 Er 3.55-3.60
Dy: 0.4989 0.2500 0.2565  8 Dy 3.50-3.69, 2 Er 3.56, 2 Ac 3.61
Dy: 0.4989 0.2500 0.7435  8 Dy 3.50-3.69, 2 Er 3.56, 2 Ac 3.61
Dy: 0.5000 0.0000 0.2566  6 Dy 3.50-3.69, 4 Er 3.56-3.59, 2 Ac 3.60
Dy: 0.5000 0.0000 0.7434  6 Dy 3.50-3.69, 4 Er 3.56-3.59, 2 Ac 3.60
Dy: 0.5011 0.7500 0.2565  8 Dy 3.50-3.69, 2 Er 3.56, 2 Ac 3.61
Dy: 0.5011 0.7500 0.7435  8 Dy 3.50-3.69, 2 Er 3.56, 2 Ac 3.61
Dy: 0.7492 0.1247 0.0000  8 Dy 3.59-3.61, 2 Ac 3.59, 2 Er 3.60
Dy: 0.7493 0.1247 0.5000  8 Dy 3.55-3.59, 4 Er 3.55-3.60
Dy: 0.7508 0.6247 0.0000  8 Dy 3.59-3.61, 2 Ac 3.59, 2 Er 3.60
Dy: 0.7507 0.6247 0.5000  8 Dy 3.55-3.59, 4 Er 3.55-3.60
Dy: 0.9989 0.2500 0.2565  8 Dy 3.50-3.69, 2 Er 3.56, 2 Ac 3.61
Dy: 0.9989 0.2500 0.7435  8 Dy 3.50-3.69, 2 Er 3.56, 2 Ac 3.61
Er: 0.0000 0.0000 0.2569  4 Er 3.49-3.69, 6 Dy 3.55-3.60, 2 Ac 3.60
Er: 0.0000 0.0000 0.7431  4 Er 3.49-3.69, 6 Dy 3.55-3.60, 2 Ac 3.60
Er: 0.2489 0.1247 0.5000  2 Er 3.55, 8 Dy 3.56-3.60, 2 Ac 3.59
Er: 0.2511 0.6247 0.5000  2 Er 3.55, 8 Dy 3.56-3.60, 2 Ac 3.59
Er: 0.5000 0.5000 0.2569  4 Er 3.49-3.69, 6 Dy 3.55-3.60, 2 Ac 3.60
Er: 0.5000 0.5000 0.7431  4 Er 3.49-3.69, 6 Dy 3.55-3.60, 2 Ac 3.60
Er: 0.7489 0.3753 0.5000  2 Er 3.55, 8 Dy 3.56-3.60, 2 Ac 3.59
Er: 0.7511 0.8753 0.5000  2 Er 3.55, 8 Dy 3.56-3.60, 2 Ac 3.59

As for the energy: -4.49 eV per atom. The symmetry is Pbam, No. 55. The formation energy comes out at 39.7 meV/atom.

Entry 2:
An optimized crystal structure of Be2CoRe, computed with PBE.

abc: 4.3830 4.3830 4.3830
angles: 134.69 134.69 66.02
Closest atoms and distances in Å follow each position.
Sites, in units of the cell vectors:
Be: 0.0000 0.0000 0.0000  4 Re 2.39, 4 Be 2.50, 4 Co 2.50
Be: 0.7500 0.2500 0.5000  4 Co 2.39, 4 Re 2.50, 4 Be 2.50
Co: 0.2500 0.7500 0.5000  8 Be 2.39-2.50, 4 Re 2.50
Re: 0.5000 0.5000 0.0000  8 Be 2.39-2.50, 4 Co 2.50

As for the energy: -6.75 eV per atom. The energy relative to the lowest polymorph listed for this composition comes out at 163.0 meV per atom. The symmetry is I-4m2, No. 119. The formation energy comes out at 0.2 meV/atom.

Entry 3:
An optimized crystal structure of Pm2Nd2Sm2Tl, computed with PBE.

abc: 8.9663 8.9663 8.2905
angles: 115.52 115.52 22.89
Closest atoms and distances in Å follow each position.
Sites, in units of the cell vectors:
Pm: 0.0665 0.0665 0.3858  1 Nd 3.37, 2 Tl 3.39, 3 Sm 3.47-3.56, 3 Pm 3.56-3.60
Pm: 0.9335 0.9335 0.6142  1 Nd 3.37, 2 Tl 3.39, 3 Sm 3.47-3.56, 3 Pm 3.56-3.60
Nd: 0.1420 0.1420 0.8950  1 Pm 3.37, 3 Sm 3.45-3.53, 2 Tl 3.47, 2 Nd 3.56
Nd: 0.8580 0.8580 0.1050  1 Pm 3.37, 3 Sm 3.45-3.53, 2 Tl 3.47, 2 Nd 3.56
Sm: 0.2785 0.2785 0.6965  4 Sm 3.45-3.56, 3 Nd 3.45-3.53, 3 Pm 3.47-3.56, 1 Tl 3.59
Sm: 0.7215 0.7215 0.3035  4 Sm 3.45-3.56, 3 Nd 3.45-3.53, 3 Pm 3.47-3.56, 1 Tl 3.59
Tl: 0.5000 0.5000 0.0000  4 Pm 3.39, 4 Nd 3.47, 2 Tl 3.56, 2 Sm 3.59

As for the energy: -4.37 eV per atom. The symmetry is C2/m, No. 12. The formation energy comes out at 38.3 meV/atom.

Entry 4:
An optimized crystal structure of Rb2BeCrGe, computed with PBE.

abc: 6.6356 6.6356 4.6025
angles: 90.00 90.00 90.00
Closest atoms and distances in Å follow each position.
Sites, in units of the cell vectors:
Rb: 0.0000 0.5000 0.0000  2 Cr 3.32
Rb: 0.5000 0.0000 0.0000  2 Cr 3.32
Be: 0.0000 0.0000 0.5000  2 Cr 2.30
Cr: 0.0000 0.0000 0.0000  2 Be 2.30
Ge: 0.5000 0.5000 0.5000  8 Rb 4.04

As for the energy: -2.82 eV per atom. The symmetry is P4/mmm, No. 123. The formation energy comes out at 1158.9 meV/atom.